ZrBe2Cu | Alexandria | PBE | relaxed; distance to the lowest polymorph of the same formula = 84 meV per atom; D(E_F) = 0.483 states/eV per atom; calculated total energy = -20.3 eV/cell
1.0
0.000 2.935 2.935
2.935 0.000 2.935
2.935 2.935 0.000
Zr Be Cu
1 2 1
direct
0.000 0.000 0.000
0.250 0.250 0.250
0.750 0.750 0.750
0.500 0.500 0.500



ZrBeCu2 | Alexandria | PBE | relaxed; D(E_F) = 0.666 states/eV per atom; calculated total energy = -20.6 eV/cell
1.0
2.765 0.000 0.000
0.000 3.179 0.000
-0.014 0.000 6.260
Zr Be Cu
1 1 2
direct
0.000 0.000 0.000
0.501 0.500 0.700
0.001 0.000 0.535
0.501 0.500 0.309



Zr3BeCu | Alexandria | PBE | relaxed; distance to the lowest polymorph of the same formula = 0 meV per atom; D(E_F) = 1.201 states/eV per atom; calculated total energy = -31.2 eV/cell
1.0
4.670 0.000 0.000
0.000 4.670 0.000
0.000 0.000 4.670
Zr Be Cu
3 1 1
direct
0.000 0.000 0.500
0.000 0.500 0.000
0.500 0.000 0.000
0.000 0.000 0.000
0.500 0.500 0.500



Zr2BeCu | Alexandria | PBE | relaxed; D(E_F) = 1.252 states/eV per atom; calculated total energy = -24.6 eV/cell
1.0
-1.945 1.945 4.423
1.945 -1.945 4.423
1.945 1.945 -4.423
Zr Be Cu
2 1 1
direct
0.000 0.000 0.000
0.750 0.250 0.500
0.250 0.750 0.500
0.500 0.500 0.000



ZrBe2Cu | Alexandria | PBE | relaxed; distance to the lowest polymorph of the same formula = 498 meV per atom; D(E_F) = 0.370 states/eV per atom; calculated total energy = -18.7 eV/cell
1.0
1.362 0.786 8.486
-1.362 0.786 8.486
0.000 -1.572 8.486
Zr Be Cu
1 2 1
direct
0.000 0.000 0.000
0.238 0.238 0.238
0.762 0.762 0.762
0.500 0.500 0.500



Zr4BeCu | Alexandria | PBE | relaxed; distance to the lowest polymorph of the same formula = 790 meV per atom; D(E_F) = 0.784 states/eV per atom; calculated total energy = -37.8 eV/cell
1.0
0.000 3.975 3.975
3.975 0.000 3.975
3.975 3.975 0.000
Zr Be Cu
4 1 1
direct
0.125 0.125 0.125
0.125 0.125 0.626
0.125 0.626 0.125
0.626 0.125 0.125
0.750 0.750 0.750
0.500 0.500 0.500



ZrBeCu2 | Alexandria | PBE | relaxed; D(E_F) = 0.782 states/eV per atom; calculated total energy = -19.7 eV/cell
1.0
3.037 0.000 0.000
0.000 4.306 0.000
0.000 0.000 4.391
Zr Be Cu
1 1 2
direct
0.000 0.000 0.000
0.500 0.500 0.000
0.000 0.500 0.500
0.500 0.000 0.500



Zr6Be15Cu8 | Alexandria | PBE | relaxed; D(E_F) = 0.294 states/eV per atom; calculated total energy = -147.3 eV/cell
1.0
0.000 5.583 5.583
5.583 0.000 5.583
5.583 5.583 0.000
Zr Be Cu
6 15 8
direct
0.203 0.203 0.797
0.203 0.797 0.203
0.203 0.797 0.797
0.797 0.203 0.203
0.797 0.203 0.797
0.797 0.797 0.203
0.000 0.000 0.500
0.000 0.500 0.000
0.000 0.500 0.500
0.177 0.177 0.177
0.177 0.177 0.470
0.177 0.470 0.177
0.470 0.177 0.177
0.500 0.000 0.000
0.500 0.000 0.500
0.500 0.500 0.000
0.500 0.500 0.500
0.530 0.823 0.823
0.823 0.530 0.823
0.823 0.823 0.530
0.823 0.823 0.823
0.130 0.623 0.623
0.377 0.377 0.377
0.377 0.377 0.870
0.377 0.870 0.377
0.623 0.130 0.623
0.623 0.623 0.130
0.623 0.623 0.623
0.870 0.377 0.377



ZrBe5Cu | Alexandria | PBE | relaxed; D(E_F) = 0.438 states/eV per atom; calculated total energy = -130.8 eV/cell
1.0
7.417 0.000 0.000
0.000 4.310 0.000
0.000 0.000 9.191
Zr Be Cu
4 20 4
direct
0.235 0.250 0.060
0.265 0.750 0.560
0.735 0.250 0.440
0.765 0.750 0.940
0.042 0.750 0.110
0.064 0.004 0.314
0.064 0.496 0.314
0.072 0.250 0.518
0.197 0.250 0.744
0.303 0.750 0.244
0.428 0.750 0.018
0.436 0.504 0.814
0.436 0.996 0.814
0.458 0.250 0.610
0.542 0.750 0.390
0.564 0.004 0.186
0.564 0.496 0.186
0.572 0.250 0.982
0.697 0.250 0.756
0.803 0.750 0.256
0.928 0.750 0.482
0.936 0.504 0.686
0.936 0.996 0.686
0.958 0.250 0.890
0.142 0.750 0.858
0.358 0.250 0.358
0.642 0.750 0.642
0.858 0.250 0.142



ZrBeCu2 | Alexandria | PBE | relaxed; D(E_F) = 0.206 states/eV per atom; calculated total energy = -20.7 eV/cell
1.0
0.000 3.015 3.015
3.015 0.000 3.015
3.015 3.015 0.000
Zr Be Cu
1 1 2
direct
0.000 0.000 0.000
0.750 0.750 0.750
0.250 0.250 0.250
0.500 0.500 0.500



Zr2BeCu | Alexandria | PBE | relaxed; D(E_F) = 1.031 states/eV per atom; calculated total energy = -25.3 eV/cell
1.0
3.295 0.000 0.000
0.000 3.969 0.000
-1.537 0.000 5.184
Zr Be Cu
2 1 1
direct
0.000 0.000 0.000
0.301 0.500 0.614
0.580 0.500 0.163
0.708 0.000 0.427



Zr2BeCu | Alexandria | PBE | relaxed; D(E_F) = 1.471 states/eV per atom; calculated total energy = -24.1 eV/cell
1.0
1.645 0.950 7.708
-1.645 0.950 7.708
0.000 -1.900 7.708
Zr Be Cu
2 1 1
direct
0.244 0.244 0.244
0.756 0.756 0.756
0.500 0.500 0.500
0.000 0.000 0.000